Record 1
Below is a relaxed Er7Mg4Tl crystal, with properties calculated at the PBE level.

Summary:
E_form (eV per atom): 0.098

```
data_Er7Mg4Tl
_chemical_formula_sum 'Er14 Mg8 Tl2'
_cell_length_a 14.701
_cell_length_b 5.673
_cell_length_c 9.570
_cell_angle_alpha 90.00
_cell_angle_beta 119.21
_cell_angle_gamma 90.00
_symmetry_space_group_name_H-M 'C 1 2/m 1'
_symmetry_Int_Tables_number 12
_symmetry_space_group_name_Hall '-C 2y'
loop_
_atom_site_label
_atom_site_type_symbol
_atom_site_fract_x
_atom_site_fract_y
_atom_site_fract_z
Er1 Er 0.000 0.000 0.000
Er2 Er 0.092 0.500 0.459
Er3 Er 0.176 0.500 0.871
Er4 Er 0.234 0.500 0.264
Mg1 Mg 0.043 0.000 0.681
Mg2 Mg 0.171 0.000 0.358
Tl1 Tl 0.000 0.500 0.000
```

Record 2
Below is a relaxed SrPt2S crystal, with properties calculated at the PBE level.

Summary:
Energy relative to the elements, uncorrected (meV/atom): -736

```
data_SrPt2S
_chemical_formula_sum 'Sr4 Pt8 S4'
_cell_length_a 5.275
_cell_length_b 5.275
_cell_length_c 14.877
_cell_angle_alpha 90.00
_cell_angle_beta 90.00
_cell_angle_gamma 90.00
_symmetry_space_group_name_H-M 'I 41/a m d'
_symmetry_Int_Tables_number 141
loop_
_symmetry_equiv_pos_as_xyz
'x,y,z'
'-x,-y,-z'
'-y+1/4,x+3/4,z+1/4'
'y+1/4,-x+3/4,-z+1/4'
'-x+1/2,-y,z+1/2'
'x+1/2,y,-z+1/2'
'y+1/4,-x+1/4,z+3/4'
'-y+1/4,x+1/4,-z+3/4'
'x,-y,-z'
'-x,y,z'
'-y+1/4,-x+1/4,-z+3/4'
'y+1/4,x+1/4,z+3/4'
'-x+1/2,y,-z+1/2'
'x+1/2,-y,z+1/2'
'y+1/4,x+3/4,-z+1/4'
'-y+1/4,-x+3/4,z+1/4'
'x+1/2,y+1/2,z+1/2'
'-x+1/2,-y+1/2,-z+1/2'
'-y+3/4,x+1/4,z+3/4'
'y+3/4,-x+1/4,-z+3/4'
'-x,-y+1/2,z'
'x,y+1/2,-z'
'y+3/4,-x+3/4,z+1/4'
'-y+3/4,x+3/4,-z+1/4'
'x+1/2,-y+1/2,-z+1/2'
'-x+1/2,y+1/2,z+1/2'
'-y+3/4,-x+3/4,-z+1/4'
'y+3/4,x+3/4,z+1/4'
'-x,y+1/2,-z'
'x,-y+1/2,z'
'y+3/4,x+1/4,-z+3/4'
'-y+3/4,-x+1/4,z+3/4'
loop_
_atom_site_label
_atom_site_type_symbol
_atom_site_fract_x
_atom_site_fract_y
_atom_site_fract_z
Sr1 Sr 0.000 0.250 0.375
Pt1 Pt 0.000 0.000 0.000
S1 S 0.000 0.250 0.875
```

Number 1: theoretical density 7.02 g/cm3. Number 2: theoretical density 8.18 g/cm3.